Entry 1:
{"formula": "GdHoTlPd", "functional": "PBE-GGA", "state": "relaxed", "final_energy_ev_per_cell": -113.49, "dos_at_fermi_per_ev_cell": 13.9, "density_g_cm3": 10.62, "lattice_angstrom": [[7.344, 0.000, 0.000], [0.000, 7.344, 0.000], [0.000, 0.000, 7.344]], "species": ["Gd", "Gd", "Gd", "Gd", "Ho", "Ho", "Ho", "Ho", "Tl", "Tl", "Tl", "Tl", "Pd", "Pd", "Pd", "Pd"], "fractional_positions": [[0.000, 0.000, 0.000], [0.000, 0.500, 0.500], [0.500, 0.000, 0.500], [0.500, 0.500, 0.000], [0.000, 0.000, 0.500], [0.000, 0.500, 0.000], [0.500, 0.000, 0.000], [0.500, 0.500, 0.500], [0.250, 0.250, 0.750], [0.250, 0.750, 0.250], [0.750, 0.250, 0.250], [0.750, 0.750, 0.750], [0.250, 0.250, 0.250], [0.250, 0.750, 0.750], [0.750, 0.250, 0.750], [0.750, 0.750, 0.250]]}



Entry 2:
{"formula": "TlRe2AgO8", "functional": "PBE-GGA", "state": "relaxed", "final_energy_ev_per_cell": -86.20, "formation_energy_uncorrected_ev_per_atom": -1.368, "dos_at_fermi_per_ev_cell": 0.0, "density_g_cm3": 5.83, "lattice_angstrom": [[5.879, -3.019, 0.000], [5.879, 3.019, 0.000], [-2.962, 0.000, 6.520]], "species": ["Tl", "Re", "Re", "Ag", "O", "O", "O", "O", "O", "O", "O", "O"], "fractional_positions": [[0.000, 0.000, 0.000], [0.202, 0.202, 0.675], [0.798, 0.798, 0.325], [0.500, 0.500, 0.500], [0.103, 0.632, 0.269], [0.173, 0.173, 0.414], [0.364, 0.364, 0.821], [0.368, 0.897, 0.731], [0.632, 0.103, 0.269], [0.636, 0.636, 0.179], [0.827, 0.827, 0.586], [0.897, 0.368, 0.731]]}



Entry 3:
{"formula": "PrNd7Tm4", "functional": "PBE-GGA", "state": "relaxed", "final_energy_ev_per_cell": -56.00, "dos_at_fermi_per_ev_cell": 15.4, "density_g_cm3": 7.52, "lattice_angstrom": [[6.324, 0.000, 0.000], [-0.004, 7.299, 0.000], [-2.108, -0.002, 8.737]], "species": ["Pr", "Nd", "Nd", "Nd", "Nd", "Nd", "Nd", "Nd", "Tm", "Tm", "Tm", "Tm"], "fractional_positions": [[0.000, 0.000, 0.000], [0.000, 0.500, 0.000], [0.223, 0.000, 0.665], [0.281, 0.748, 0.337], [0.500, 0.255, 0.003], [0.500, 0.745, 0.997], [0.719, 0.252, 0.663], [0.777, 0.000, 0.335], [0.218, 0.500, 0.663], [0.277, 0.256, 0.335], [0.723, 0.744, 0.665], [0.782, 0.500, 0.337]]}



Please write out number 2 again, unchanged.
{"formula": "TlRe2AgO8", "functional": "PBE-GGA", "state": "relaxed", "final_energy_ev_per_cell": -86.20, "formation_energy_uncorrected_ev_per_atom": -1.368, "dos_at_fermi_per_ev_cell": 0.0, "density_g_cm3": 5.83, "lattice_angstrom": [[5.879, -3.019, 0.000], [5.879, 3.019, 0.000], [-2.962, 0.000, 6.520]], "species": ["Tl", "Re", "Re", "Ag", "O", "O", "O", "O", "O", "O", "O", "O"], "fractional_positions": [[0.000, 0.000, 0.000], [0.202, 0.202, 0.675], [0.798, 0.798, 0.325], [0.500, 0.500, 0.500], [0.103, 0.632, 0.269], [0.173, 0.173, 0.414], [0.364, 0.364, 0.821], [0.368, 0.897, 0.731], [0.632, 0.103, 0.269], [0.636, 0.636, 0.179], [0.827, 0.827, 0.586], [0.897, 0.368, 0.731]]}



Copy entry 1 word for word.
{"formula": "GdHoTlPd", "functional": "PBE-GGA", "state": "relaxed", "final_energy_ev_per_cell": -113.49, "dos_at_fermi_per_ev_cell": 13.9, "density_g_cm3": 10.62, "lattice_angstrom": [[7.344, 0.000, 0.000], [0.000, 7.344, 0.000], [0.000, 0.000, 7.344]], "species": ["Gd", "Gd", "Gd", "Gd", "Ho", "Ho", "Ho", "Ho", "Tl", "Tl", "Tl", "Tl", "Pd", "Pd", "Pd", "Pd"], "fractional_positions": [[0.000, 0.000, 0.000], [0.000, 0.500, 0.500], [0.500, 0.000, 0.500], [0.500, 0.500, 0.000], [0.000, 0.000, 0.500], [0.000, 0.500, 0.000], [0.500, 0.000, 0.000], [0.500, 0.500, 0.500], [0.250, 0.250, 0.750], [0.250, 0.750, 0.250], [0.750, 0.250, 0.250], [0.750, 0.750, 0.750], [0.250, 0.250, 0.250], [0.250, 0.750, 0.750], [0.750, 0.250, 0.750], [0.750, 0.750, 0.250]]}



- Number 2 is which compound?
  TlRe2AgO8